Record 1
DFT (PBE-GGA) results for a geometry-optimized Tl2TcPb structure.

Properties
E_form, meV per atom: 806
Uncorrected energy, hartree per atom: -0.143
Space group: F-43m, No. 216
Total moment, Bohr magnetons per cell: 2.22

Unit cell a=5.216 b=5.216 c=5.216 alpha=60.00 beta=60.00 gamma=60.00
Each line ends with the local moment (μB).
Sites, in units of the cell vectors:
Pb: 0.500 0.500 0.500  -0.06
Tc: 0.750 0.750 0.750  2.07
Tl: 0.000 0.000 0.000  0.00
Tl: 0.250 0.250 0.250  -0.02

---

Record 2
DFT (PBE-GGA) results for a geometry-optimized CaAlAu2 structure.

Properties
E_form, meV per atom: -572
Uncorrected energy, hartree per atom: -0.134
Space group: Pmm2, No. 25
Total moment, Bohr magnetons per cell: 0.00

Unit cell a=4.776 b=3.648 c=5.173 alpha=90.04 beta=90.00 gamma=90.00
Sites, in units of the cell vectors:
Ca: 0.000 0.500 0.456
Au: 0.000 0.000 0.961
Au: 0.500 0.000 0.295
Al: 0.500 0.000 0.788

---

Record 3
DFT (PBE-GGA) results for a geometry-optimized LaPr6DyY2 structure.

Properties
E_form, meV per atom: 112
Uncorrected energy, hartree per atom: -0.184
Space group: C2/c, No. 15
Total moment, Bohr magnetons per cell: 0.00

Unit cell a=9.784 b=9.059 c=9.059 alpha=117.16 beta=93.87 gamma=93.87
Sites, in units of the cell vectors:
La: 0.250 0.406 0.594
La: 0.750 0.594 0.406
Pr: 0.057 0.108 0.763
Pr: 0.443 0.237 0.892
Pr: 0.943 0.892 0.237
Pr: 0.557 0.763 0.108
Pr: 0.316 0.985 0.434
Pr: 0.184 0.566 0.015
Pr: 0.684 0.015 0.566
Pr: 0.816 0.434 0.985
Pr: 0.119 0.704 0.485
Pr: 0.381 0.515 0.296
Pr: 0.881 0.296 0.515
Pr: 0.619 0.485 0.704
Dy: 0.250 0.966 0.034
Dy: 0.750 0.034 0.966
Y: 0.451 0.804 0.711
Y: 0.049 0.289 0.196
Y: 0.549 0.196 0.289
Y: 0.951 0.711 0.804

---

Record 4
DFT (PBE-GGA) results for a geometry-optimized LiB3Ir5 structure.

Properties
E_form, meV per atom: -17
Uncorrected energy, hartree per atom: -0.271
Space group: C2/m, No. 12
Total moment, Bohr magnetons per cell: 0.00

Unit cell a=6.763 b=6.864 c=6.864 alpha=61.98 beta=69.07 gamma=100.41
Sites, in units of the cell vectors:
Li: 0.594 0.825 0.230
Li: 0.406 0.175 0.770
B: 0.919 0.336 0.417
B: 0.320 0.326 0.006
B: 0.000 0.000 0.000
B: 0.500 0.000 0.500
B: 0.081 0.664 0.583
B: 0.680 0.674 0.994
Ir: 0.311 0.035 0.315
Ir: 0.000 0.702 0.298
Ir: 0.965 0.155 0.189
Ir: 0.315 0.501 0.187
Ir: 0.685 0.499 0.813
Ir: 0.035 0.845 0.811
Ir: 0.311 0.626 0.724
Ir: 0.000 0.298 0.702
Ir: 0.689 0.965 0.685
Ir: 0.689 0.374 0.276

---

Record 5
DFT (PBE-GGA) results for a geometry-optimized Ca3Tb2CeSe6 structure.

Properties
Energy relative to the elements, uncorrected, eV per atom: -1.871
Uncorrected energy, hartree per atom: -0.198
Space group: C2/m, No. 12
Total moment, Bohr magnetons per cell: 1.40

Unit cell a=7.175 b=7.175 c=7.297 alpha=99.44 beta=99.44 gamma=119.96
Each line ends with the local moment (μB).
Sites, in units of the cell vectors:
Ca: 0.166 0.834 0.500  0.00
Ca: 0.834 0.166 0.500  0.00
Ca: 0.500 0.500 0.500  0.00
Tb: 0.333 0.667 0.000  0.08
Tb: 0.667 0.333 0.000  0.08
Ce: 0.000 0.000 0.000  0.99
Se: 0.917 0.577 0.750  0.00
Se: 0.744 0.744 0.250  0.00
Se: 0.083 0.423 0.250  0.00
Se: 0.577 0.917 0.750  0.00
Se: 0.256 0.256 0.750  0.00
Se: 0.423 0.083 0.250  0.00

---

Record 6
DFT (PBE-GGA) results for a geometry-optimized Er5AuSe4 structure.

Properties
Energy relative to the elements, uncorrected, eV per atom: -1.545
Uncorrected energy, hartree per atom: -0.204
Space group: C2/m, No. 12
Total moment, Bohr magnetons per cell: 0.00

Unit cell a=3.996 b=7.157 c=9.152 alpha=75.62 beta=77.39 gamma=73.79
Sites, in units of the cell vectors:
Er: 0.195 0.904 0.706
Er: 0.805 0.096 0.294
Er: 0.403 0.292 0.902
Er: 0.000 0.500 0.500
Er: 0.597 0.708 0.098
Au: 0.000 0.000 0.000
Se: 0.604 0.201 0.591
Se: 0.197 0.403 0.203
Se: 0.803 0.597 0.797
Se: 0.396 0.799 0.409

---

Record 7
DFT (PBE-GGA) results for a geometry-optimized Ac4ErS7 structure.

Properties
Energy relative to the elements, uncorrected, eV per atom: -2.119
Uncorrected energy, hartree per atom: -0.231
Space group: Cm, No. 8
Total moment, Bohr magnetons per cell: 0.00

Unit cell a=4.136 b=7.271 c=12.114 alpha=105.01 beta=90.00 gamma=106.52
Sites, in units of the cell vectors:
Ac: 0.702 0.404 0.807
Ac: 0.308 0.615 0.203
Ac: 0.002 0.004 0.993
Ac: 0.108 0.215 0.433
Er: 0.884 0.768 0.574
S: 0.740 0.480 0.366
S: 0.277 0.554 0.648
S: 0.341 0.683 0.952
S: 0.663 0.326 0.052
S: 0.040 0.080 0.765
S: 0.961 0.922 0.215
S: 0.474 0.949 0.491

---

Record 8
DFT (PBE-GGA) results for a geometry-optimized Mo2WAu structure.

Properties
E_form, meV per atom: 302
Uncorrected energy, hartree per atom: -0.337
Space group: Pmmm, No. 47
Total moment, Bohr magnetons per cell: 0.00

Unit cell a=2.913 b=3.941 c=5.772 alpha=90.00 beta=90.00 gamma=90.00
Sites, in units of the cell vectors:
Au: 0.500 0.500 0.750
Mo: 0.000 0.000 0.024
Mo: 0.000 0.000 0.476
W: 0.500 0.500 0.250

---

> What is the uncorrected energy in the sixth record?

-0.204 hartree per atom

---

> What is the formula in the fourth record?

LiB3Ir5